Record 1
Entry from Alexandria: crystalline TmIrRh3 at its relaxed geometry (PBE-GGA).

Lattice parameters (Å, degrees): 6.397 6.397 6.397 132.75 111.02 87.85
Fractional coordinates of all 10 atoms:
Tm: 0.252 0.002 0.250
Tm: 0.748 0.998 0.750
Ir: 0.000 0.500 0.500
Ir: 0.500 0.500 0.000
Rh: 0.181 0.000 0.681
Rh: 0.181 0.500 0.181
Rh: 0.447 0.697 0.750
Rh: 0.553 0.303 0.250
Rh: 0.819 0.000 0.319
Rh: 0.819 0.500 0.819

Values from the calculation:
- SG = Imma (74)
- formation enthalpy at 0 K (kcal/mol of atoms) = -7.5
- final energy (Ry per atom) = -0.5440

---

Record 2
Entry from Alexandria: crystalline CsOsRuO6 at its relaxed geometry (PBE-GGA).

Lattice parameters (Å, degrees): 7.273 7.273 7.273 120.63 119.76 89.66
Fractional coordinates of all 18 atoms:
Cs: 0.372 0.122 0.250
Cs: 0.628 0.878 0.750
Os: 0.000 0.500 0.500
Os: 0.500 0.500 0.000
Ru: 0.000 0.000 0.500
Ru: 0.000 0.500 0.000
O: 0.060 0.433 0.252
O: 0.060 0.808 0.627
O: 0.061 0.811 0.250
O: 0.318 0.568 0.750
O: 0.319 0.192 0.752
O: 0.319 0.567 0.127
O: 0.681 0.433 0.873
O: 0.681 0.808 0.248
O: 0.682 0.432 0.250
O: 0.939 0.189 0.750
O: 0.940 0.192 0.373
O: 0.940 0.567 0.748

Values from the calculation:
- SG = Imma (74)
- formation energy without anion corrections (eV per atom) = -1.162
- final energy (Ry per atom) = -0.5028

---

Record 3
Entry from Alexandria: crystalline BeTlP2 at its relaxed geometry (PBE-GGA).

Lattice parameters (Å, degrees): 3.809 3.809 7.108 99.48 99.48 50.04
Fractional coordinates of all 4 atoms:
Be: 0.000 0.000 0.000
Tl: 0.500 0.500 0.500
P: 0.259 0.259 0.875
P: 0.741 0.741 0.125

Values from the calculation:
- SG = C2/m (12)
- formation enthalpy at 0 K (kcal/mol of atoms) = 3.3
- final energy (Ry per atom) = -0.3004

---

Record 4
Entry from Alexandria: crystalline Tl3SnPb3Se8 at its relaxed geometry (PBE-GGA).

Lattice parameters (Å, degrees): 8.682 8.682 8.682 59.68 59.68 59.68
Fractional coordinates of all 15 atoms:
Tl: 0.000 0.500 0.500
Tl: 0.500 0.000 0.500
Tl: 0.500 0.500 0.000
Sn: 0.500 0.500 0.500
Pb: 0.000 0.000 0.500
Pb: 0.000 0.500 0.000
Pb: 0.500 0.000 0.000
Se: 0.248 0.248 0.248
Se: 0.272 0.727 0.727
Se: 0.273 0.273 0.728
Se: 0.273 0.728 0.273
Se: 0.727 0.272 0.727
Se: 0.727 0.727 0.272
Se: 0.728 0.273 0.273
Se: 0.752 0.752 0.752

Values from the calculation:
- SG = R-3m (166)
- formation energy without anion corrections (eV per atom) = -0.362
- final energy (Ry per atom) = -0.2721

---

Record 5
Entry from Alexandria: crystalline DyBiPd3 at its relaxed geometry (PBE-GGA).

Lattice parameters (Å, degrees): 4.713 5.823 7.540 90.00 90.61 90.00
Fractional coordinates of all 10 atoms:
Dy: 0.248 0.250 0.367
Dy: 0.752 0.750 0.633
Bi: 0.246 0.750 0.052
Bi: 0.754 0.250 0.948
Pd: 0.248 0.750 0.415
Pd: 0.255 0.014 0.738
Pd: 0.255 0.486 0.738
Pd: 0.745 0.514 0.262
Pd: 0.745 0.986 0.262
Pd: 0.752 0.250 0.585

Values from the calculation:
- SG = P2_1/m (11)
- formation enthalpy at 0 K (kcal/mol of atoms) = -15.2
- final energy (Ry per atom) = -0.4023

---

Record 6
Entry from Alexandria: crystalline RbThBi2 at its relaxed geometry (PBE-GGA).

Lattice parameters (Å, degrees): 9.464 9.464 9.464 28.58 28.58 28.58
Fractional coordinates of all 4 atoms:
Rb: 0.000 0.000 0.000
Th: 0.170 0.170 0.170
Bi: 0.570 0.570 0.570
Bi: 0.768 0.768 0.768

Values from the calculation:
- SG = R3m (160)
- formation enthalpy at 0 K (kcal/mol of atoms) = -8.3
- final energy (Ry per atom) = -0.3231

---

Record 7
Entry from Alexandria: crystalline Ag2TeI at its relaxed geometry (PBE-GGA).

Lattice parameters (Å, degrees): 4.607 6.355 8.808 79.88 79.03 79.10
Fractional coordinates of all 8 atoms:
Ag: 0.000 0.000 0.000
Ag: 0.159 0.396 0.363
Ag: 0.412 0.990 0.229
Ag: 0.679 0.519 0.708
Te: 0.584 0.738 0.968
Te: 0.736 0.352 0.176
I: 0.266 0.247 0.691
I: 0.893 0.829 0.438

Values from the calculation:
- SG = P1 (1)
- formation energy without anion corrections (eV per atom) = -0.107
- final energy (Ry per atom) = -0.1989

---

Record 8
Entry from Alexandria: crystalline Rb3Er3TiS8 at its relaxed geometry (PBE-GGA).

Lattice parameters (Å, degrees): 9.034 9.034 9.034 51.27 51.27 51.27
Fractional coordinates of all 15 atoms:
Rb: 0.000 0.500 0.500
Rb: 0.500 0.000 0.500
Rb: 0.500 0.500 0.000
Er: 0.000 0.000 0.500
Er: 0.000 0.500 0.000
Er: 0.500 0.000 0.000
Ti: 0.500 0.500 0.500
S: 0.230 0.230 0.230
S: 0.252 0.714 0.714
S: 0.286 0.286 0.748
S: 0.286 0.748 0.286
S: 0.714 0.252 0.714
S: 0.714 0.714 0.252
S: 0.748 0.286 0.286
S: 0.770 0.770 0.770

Values from the calculation:
- SG = R-3m (166)
- formation energy without anion corrections (eV per atom) = -1.725
- final energy (Ry per atom) = -0.4086